(1)
# Ac2PrCr2N6, relaxed, DFT PBE
# **Uncorrected energy**: -274.3 eV/cell
# **Uncorrected formation energy**: -0.8413 eV/atom
# **Total moment**: 0.000 μB per formula unit
data_Ac2PrCr2N6
_chemical_formula_sum 'Ac6 Pr3 Cr6 N18'
_cell_length_a 5.7501
_cell_length_b 5.7501
_cell_length_c 19.2043
_cell_angle_alpha 90.00
_cell_angle_beta 90.00
_cell_angle_gamma 120.00
_space_group_name_H-M_alt 'R -3 m'
_space_group_IT_number 166
_space_group_name_Hall '-R 3 2"'
loop_
_atom_site_label
_atom_site_type_symbol
_atom_site_fract_x
_atom_site_fract_y
_atom_site_fract_z
Ac1 Ac 0.0000 0.0000 0.2089
Pr1 Pr 0.0000 0.0000 0.0000
Cr1 Cr 0.0000 0.0000 0.4048
N1 N 0.0063 0.5032 0.2368

(2)
# Ac2PuCr2N6, relaxed, DFT PBE
# **Uncorrected energy**: -304.3 eV/cell
# **Uncorrected formation energy**: -0.8803 eV/atom
# **Total moment**: 5.117 μB per formula unit
data_Ac2PuCr2N6
_chemical_formula_sum 'Ac6 Pu3 Cr6 N18'
_cell_length_a 5.9242
_cell_length_b 5.9242
_cell_length_c 17.1477
_cell_angle_alpha 90.00
_cell_angle_beta 90.00
_cell_angle_gamma 120.00
_space_group_name_H-M_alt 'R -3 m'
_space_group_IT_number 166
_space_group_name_Hall '-R 3 2"'
loop_
_atom_site_label
_atom_site_type_symbol
_atom_site_fract_x
_atom_site_fract_y
_atom_site_fract_z
Ac1 Ac 0.0000 0.0000 0.2195
Pu1 Pu 0.0000 0.0000 0.0000
Cr1 Cr 0.0000 0.0000 0.4340
N1 N 0.0027 0.5013 0.7513

(3)
# AcPu2CrN4, relaxed, DFT PBE
# **Uncorrected energy**: -336.2 eV/cell
# **Uncorrected formation energy**: -1.0441 eV/atom
# **Total moment**: 8.667 μB per formula unit
data_AcPu2CrN4
_chemical_formula_sum 'Ac4 Pu8 Cr4 N16'
_cell_length_a 3.477
_cell_length_b 11.863
_cell_length_c 11.679
_cell_angle_alpha 90.00
_cell_angle_beta 90.00
_cell_angle_gamma 90.00
_space_group_name_H-M_alt 'C m c m'
_space_group_IT_number 63
_space_group_name_Hall '-C 2c 2'
loop_
_atom_site_label
_atom_site_type_symbol
_atom_site_fract_x
_atom_site_fract_y
_atom_site_fract_z
Ac1 Ac 0.000 0.089 0.250
Pu1 Pu 0.000 0.368 0.047
Cr1 Cr 0.000 0.170 0.750
N1 N 0.000 0.000 0.000
N2 N 0.000 0.256 0.618
N3 N 0.000 0.416 0.250

(4)
# RbAc2Cr2N6, relaxed, DFT PBE
# **Uncorrected energy**: -84.7 eV/cell
# **Uncorrected formation energy**: -0.5711 eV/atom
# **Total moment**: 1.050 μB per formula unit
data_RbAc2Cr2N6
_chemical_formula_sum 'Rb1 Ac2 Cr2 N6'
_cell_length_a 6.164
_cell_length_b 6.562
_cell_length_c 6.945
_cell_angle_alpha 64.72
_cell_angle_beta 64.12
_cell_angle_gamma 66.97
_space_group_name_H-M_alt 'P -1'
_space_group_IT_number 2
loop_
_space_group_symop_operation_xyz
'x,y,z'
'-x,-y,-z'
loop_
_atom_site_label
_atom_site_type_symbol
_atom_site_fract_x
_atom_site_fract_y
_atom_site_fract_z
Rb1 Rb 0.000 0.000 0.000
Ac1 Ac 0.279 0.287 0.309
Cr1 Cr 0.466 0.670 0.330
N1 N 0.157 0.697 0.399
N2 N 0.367 0.463 0.874
N3 N 0.443 0.119 0.665

(5)
# RbAcCrN3, relaxed, DFT PBE
# **Uncorrected energy**: -167.1 eV/cell
# **Uncorrected formation energy**: -0.3499 eV/atom
# **Total moment**: 0.000 μB per formula unit
data_RbAcCrN3
_chemical_formula_sum 'Rb4 Ac4 Cr4 N12'
_cell_length_a 14.289
_cell_length_b 3.832
_cell_length_c 8.389
_cell_angle_alpha 90.00
_cell_angle_beta 104.19
_cell_angle_gamma 90.00
_space_group_name_H-M_alt 'C 1 2/m 1'
_space_group_IT_number 12
loop_
_space_group_symop_operation_xyz
'x,y,z'
'-x,-y,-z'
'-x,y,-z'
'x,-y,z'
'x+1/2,y+1/2,z'
'-x+1/2,-y+1/2,-z'
'-x+1/2,y+1/2,-z'
'x+1/2,-y+1/2,z'
loop_
_atom_site_label
_atom_site_type_symbol
_atom_site_fract_x
_atom_site_fract_y
_atom_site_fract_z
Rb1 Rb 0.127 0.000 0.071
Ac1 Ac 0.160 0.000 0.606
Cr1 Cr 0.015 0.500 0.339
N1 N 0.017 0.000 0.358
N2 N 0.106 0.500 0.785
N3 N 0.147 0.500 0.362

(6)
# Ac2SmCr2N6, relaxed, DFT PBE
# **Uncorrected energy**: -275.0 eV/cell
# **Uncorrected formation energy**: -0.8665 eV/atom
# **Total moment**: 0.000 μB per formula unit
data_Ac2SmCr2N6
_chemical_formula_sum 'Ac6 Sm3 Cr6 N18'
_cell_length_a 5.7324
_cell_length_b 5.7324
_cell_length_c 18.8751
_cell_angle_alpha 90.00
_cell_angle_beta 90.00
_cell_angle_gamma 120.00
_space_group_name_H-M_alt 'R -3 m'
_space_group_IT_number 166
_space_group_name_Hall '-R 3 2"'
loop_
_atom_site_label
_atom_site_type_symbol
_atom_site_fract_x
_atom_site_fract_y
_atom_site_fract_z
Ac1 Ac 0.0000 0.0000 0.2097
Sm1 Sm 0.0000 0.0000 0.0000
Cr1 Cr 0.0000 0.0000 0.4027
N1 N 0.0050 0.5025 0.2386

(7)
# Ac3SmCr2N6, relaxed, DFT PBE
# **Uncorrected energy**: -97.2 eV/cell
# **Uncorrected formation energy**: -0.9169 eV/atom
# **Total moment**: 1.033 μB per formula unit
data_Ac3SmCr2N6
_chemical_formula_sum 'Ac3 Sm1 Cr2 N6'
_cell_length_a 5.9888
_cell_length_b 5.9888
_cell_length_c 7.0734
_cell_angle_alpha 90.00
_cell_angle_beta 90.00
_cell_angle_gamma 120.00
_space_group_name_H-M_alt 'P -3 m 1'
_space_group_IT_number 164
_space_group_name_Hall '-P 3 2"'
loop_
_atom_site_label
_atom_site_type_symbol
_atom_site_fract_x
_atom_site_fract_y
_atom_site_fract_z
Ac1 Ac 0.0000 0.0000 0.0000
Ac2 Ac 0.3333 0.6667 0.6955
Sm1 Sm 0.0000 0.0000 0.5000
Cr1 Cr 0.3333 0.6667 0.2092
N1 N 0.1737 0.3475 0.2820

(8)
# AcSm2CrN4, relaxed, DFT PBE
# **Uncorrected energy**: -261.8 eV/cell
# **Uncorrected formation energy**: -1.1237 eV/atom
# **Total moment**: 2.042 μB per formula unit
data_AcSm2CrN4
_chemical_formula_sum 'Ac4 Sm8 Cr4 N16'
_cell_length_a 3.533
_cell_length_b 12.062
_cell_length_c 11.964
_cell_angle_alpha 90.00
_cell_angle_beta 90.00
_cell_angle_gamma 90.00
_space_group_name_H-M_alt 'C m c m'
_space_group_IT_number 63
_space_group_name_Hall '-C 2c 2'
loop_
_atom_site_label
_atom_site_type_symbol
_atom_site_fract_x
_atom_site_fract_y
_atom_site_fract_z
Ac1 Ac 0.000 0.092 0.250
Sm1 Sm 0.000 0.368 0.044
Cr1 Cr 0.000 0.172 0.750
N1 N 0.000 0.000 0.000
N2 N 0.000 0.264 0.629
N3 N 0.000 0.409 0.250

(9)
# Sr2AcCrN4, relaxed, DFT PBE
# **Uncorrected energy**: -224.3 eV/cell
# **Uncorrected formation energy**: -0.7086 eV/atom
# **Total moment**: 0.884 μB per formula unit
data_Sr2AcCrN4
_chemical_formula_sum 'Sr8 Ac4 Cr4 N16'
_cell_length_a 3.555
_cell_length_b 12.223
_cell_length_c 12.654
_cell_angle_alpha 90.00
_cell_angle_beta 90.00
_cell_angle_gamma 90.00
_space_group_name_H-M_alt 'C m c m'
_space_group_IT_number 63
_space_group_name_Hall '-C 2c 2'
loop_
_atom_site_label
_atom_site_type_symbol
_atom_site_fract_x
_atom_site_fract_y
_atom_site_fract_z
Sr1 Sr 0.000 0.132 0.040
Ac1 Ac 0.000 0.421 0.250
Cr1 Cr 0.000 0.312 0.750
N1 N 0.000 0.107 0.250
N2 N 0.000 0.225 0.645
N3 N 0.000 0.500 0.000

(10)
# Ac2TaCrN5, relaxed, DFT PBE
# **Uncorrected energy**: -322.0 eV/cell
# **Uncorrected formation energy**: -1.0191 eV/atom
# **Total moment**: 1.620 μB per formula unit
data_Ac2TaCrN5
_chemical_formula_sum 'Ac8 Ta4 Cr4 N20'
_cell_length_a 3.386
_cell_length_b 14.805
_cell_length_c 10.675
_cell_angle_alpha 90.00
_cell_angle_beta 90.00
_cell_angle_gamma 90.00
_space_group_name_H-M_alt 'C m c 21'
_space_group_IT_number 36
loop_
_space_group_symop_operation_xyz
'x,y,z'
'-x,-y,z+1/2'
'-x,y,z'
'x,-y,z+1/2'
'x+1/2,y+1/2,z'
'-x+1/2,-y+1/2,z+1/2'
'-x+1/2,y+1/2,z'
'x+1/2,-y+1/2,z+1/2'
loop_
_atom_site_label
_atom_site_type_symbol
_atom_site_fract_x
_atom_site_fract_y
_atom_site_fract_z
Ac1 Ac 0.000 0.119 0.000
Ac2 Ac 0.000 0.132 0.631
Ta1 Ta 0.000 0.206 0.333
Cr1 Cr 0.000 0.445 0.756
N1 N 0.000 0.043 0.328
N2 N 0.000 0.297 0.959
N3 N 0.000 0.322 0.698
N4 N 0.000 0.335 0.317
N5 N 0.000 0.498 0.608

(11)
# Ac2TaCr2N6, relaxed, DFT PBE
# **Uncorrected energy**: -298.2 eV/cell
# **Uncorrected formation energy**: -0.9215 eV/atom
# **Total moment**: 0.001 μB per formula unit
data_Ac2TaCr2N6
_chemical_formula_sum 'Ac6 Ta3 Cr6 N18'
_cell_length_a 5.8554
_cell_length_b 5.8554
_cell_length_c 16.1272
_cell_angle_alpha 90.00
_cell_angle_beta 90.00
_cell_angle_gamma 120.00
_space_group_name_H-M_alt 'R -3 m'
_space_group_IT_number 166
_space_group_name_Hall '-R 3 2"'
loop_
_atom_site_label
_atom_site_type_symbol
_atom_site_fract_x
_atom_site_fract_y
_atom_site_fract_z
Ac1 Ac 0.0000 0.0000 0.2303
Ta1 Ta 0.0000 0.0000 0.0000
Cr1 Cr 0.0000 0.0000 0.4346
N1 N 0.0049 0.5025 0.7438

(12)
# Ac2TbCrN4, relaxed, DFT PBE
# **Uncorrected energy**: -249.9 eV/cell
# **Uncorrected formation energy**: -0.8386 eV/atom
# **Total moment**: 2.734 μB per formula unit
data_Ac2TbCrN4
_chemical_formula_sum 'Ac8 Tb4 Cr4 N16'
_cell_length_a 3.685
_cell_length_b 13.535
_cell_length_c 12.565
_cell_angle_alpha 90.00
_cell_angle_beta 90.00
_cell_angle_gamma 90.00
_space_group_name_H-M_alt 'C m c m'
_space_group_IT_number 63
_space_group_name_Hall '-C 2c 2'
loop_
_atom_site_label
_atom_site_type_symbol
_atom_site_fract_x
_atom_site_fract_y
_atom_site_fract_z
Ac1 Ac 0.000 0.127 0.037
Tb1 Tb 0.000 0.334 0.250
Cr1 Cr 0.000 0.323 0.750
N1 N 0.000 0.144 0.250
N2 N 0.000 0.227 0.637
N3 N 0.000 0.500 0.000